1.
# K4Rb5O PBE relaxed
# Density, g cm⁻³: 0.93
# E_form (uncorrected), meV/atom: -144
# Distance to the lowest polymorph of the same formula, kcal/mol of atoms: 3.04
data_K4Rb5O
_symmetry_space_group_name_H-M 'I 4'
_symmetry_Int_Tables_number 79
_cell_length_a 11.668
_cell_length_b 11.668
_cell_length_c 15.717
_cell_angle_alpha 90.00
_cell_angle_beta 90.00
_cell_angle_gamma 90.00
loop_
_symmetry_equiv_pos_as_xyz
'x,y,z'
'-y,x,z'
'-x,-y,z'
'y,-x,z'
'x+1/2,y+1/2,z+1/2'
'-y+1/2,x+1/2,z+1/2'
'-x+1/2,-y+1/2,z+1/2'
'y+1/2,-x+1/2,z+1/2'
loop_
_atom_site_label
_atom_site_type_symbol
_atom_site_fract_x
_atom_site_fract_y
_atom_site_fract_z
K1 K 0.045 0.697 0.000
Rb1 Rb 0.000 0.000 0.835
Rb2 Rb 0.086 0.787 0.638
O1 O 0.000 0.000 0.669

2.
# K4Rb3O2 PBE relaxed
# Density, g cm⁻³: 1.57
# E_form (uncorrected), meV/atom: -668
data_K4Rb3O2
_symmetry_space_group_name_H-M 'C 1 2/c 1'
_symmetry_Int_Tables_number 15
_cell_length_a 21.750
_cell_length_b 12.445
_cell_length_c 7.368
_cell_angle_alpha 90.00
_cell_angle_beta 109.66
_cell_angle_gamma 90.00
loop_
_symmetry_equiv_pos_as_xyz
'x,y,z'
'-x,-y,-z'
'-x,y,-z+1/2'
'x,-y,z+1/2'
'x+1/2,y+1/2,z'
'-x+1/2,-y+1/2,-z'
'-x+1/2,y+1/2,-z+1/2'
'x+1/2,-y+1/2,z+1/2'
loop_
_atom_site_label
_atom_site_type_symbol
_atom_site_fract_x
_atom_site_fract_y
_atom_site_fract_z
K1 K 0.178 0.230 0.026
K2 K 0.208 0.060 0.635
Rb1 Rb 0.000 0.144 0.250
Rb2 Rb 0.149 0.444 0.608
O1 O 0.229 0.414 0.990

3.
# K7RbO3 PBE relaxed
# Density, g cm⁻³: 1.54
# E_form (uncorrected), meV/atom: -822
data_K7RbO3
_symmetry_space_group_name_H-M 'P 3 m 1'
_symmetry_Int_Tables_number 156
_cell_length_a 8.2481
_cell_length_b 8.2481
_cell_length_c 7.4412
_cell_angle_alpha 90.00
_cell_angle_beta 90.00
_cell_angle_gamma 120.00
loop_
_symmetry_equiv_pos_as_xyz
'x,y,z'
'-y,x-y,z'
'-x+y,-x,z'
'-y,-x,z'
'-x+y,y,z'
'x,x-y,z'
loop_
_atom_site_label
_atom_site_type_symbol
_atom_site_fract_x
_atom_site_fract_y
_atom_site_fract_z
K1 K 0.0000 0.0000 0.0000
K2 K 0.1494 0.2987 0.3623
K3 K 0.5173 0.0345 0.0042
Rb1 Rb 0.6667 0.3333 0.3881
O1 O 0.3312 0.1656 0.1822

4.
# KRb2O PBE relaxed
# Density, g cm⁻³: 1.89
# E_form (uncorrected), meV/atom: -708
data_KRb2O
_symmetry_space_group_name_H-M 'P 1 21/m 1'
_symmetry_Int_Tables_number 11
_cell_length_a 3.748
_cell_length_b 13.630
_cell_length_c 7.996
_cell_angle_alpha 90.00
_cell_angle_beta 103.46
_cell_angle_gamma 90.00
loop_
_symmetry_equiv_pos_as_xyz
'x,y,z'
'-x,-y,-z'
'-x,y+1/2,-z'
'x,-y+1/2,z'
loop_
_atom_site_label
_atom_site_type_symbol
_atom_site_fract_x
_atom_site_fract_y
_atom_site_fract_z
K1 K 0.182 0.250 0.375
Rb1 Rb 0.369 0.122 0.750
O1 O 0.198 0.750 0.385

no.,Fermi-level density of states (states/eV/cell)
1,14.92
2,14.28
3,2.99
4,3.47